Record 1
## CuAsPb2 (PBE-GGA)

Data for crystalline CuAsPb2 at its relaxed geometry.

```
4
Lattice="-2.990 -0.741 3.813 -0.990 -4.537 -1.658 3.038 -1.432 2.105" Properties=species:S:1:pos:R:3 pbc="T T T"
Pb -1.990 -2.639 1.077
Pb 0.000 0.000 0.000
Cu 1.024 -2.985 0.223
As 0.024 -1.087 2.959
```

Calculated values
Its space group is Pmmm, No. 47. The size of the total moment is 0.00 μB/cell. The calculation puts the theoretical density at 9.6 g cm⁻³. The value obtained for the total energy is -3.77 eV/atom. For the energy relative to the elements, the calculation gives 1.091 eV per formula unit. As for the crystal system: orthorhombic.

---

Record 2
## TbSm5Y2Tm (PBE-GGA)

Data for crystalline TbSm5Y2Tm at its relaxed geometry.

```
18
Lattice="-5.338 -1.864 0.198 4.113 -4.119 -8.699 3.172 -8.499 5.524" Properties=species:S:1:pos:R:3 pbc="T T T"
Tb 2.644 -8.054 -4.524
Y -0.802 -6.853 -5.271
Sm 0.115 -0.352 -0.208
Tb 0.633 -9.990 3.862
Sm 0.541 -10.049 0.819
Sm 3.743 -11.167 -4.178
Sm 1.802 -5.493 -3.107
Sm -0.689 -6.502 1.049
Sm -1.847 -3.178 1.112
Sm 3.102 -9.018 -1.230
Sm 0.370 -10.213 -5.314
Sm 1.189 -4.101 -6.546
Tm 0.612 -2.111 -3.376
Y 2.657 -7.385 2.135
Y 1.333 -3.843 -0.231
Sm -1.432 -4.723 -2.229
Tm -0.181 -8.307 -2.242
Y 1.031 -11.756 -2.020
```

Calculated values
Its space group is Cmc2_1, No. 36. The size of the total moment is 0.00 μB/cell. The calculation puts the theoretical density at 6.9 g cm⁻³. The value obtained for the total energy is -4.92 eV/atom. For the energy relative to the elements, the calculation gives 1.312 eV per formula unit. As for the crystal system: orthorhombic.

---

Record 3
## K2CuRu (PBE-GGA)

Data for crystalline K2CuRu at its relaxed geometry.

```
4
Lattice="-0.833 -4.118 3.263 -0.223 -2.529 -3.248 4.065 -0.645 0.223" Properties=species:S:1:pos:R:3 pbc="T T T"
Cu 1.616 -2.382 1.743
Ru -0.528 -3.323 0.008
K 0.000 0.000 0.000
K 1.921 -1.587 -1.512
```

Calculated values
Its space group is P4/mmm, No. 123. The size of the total moment is 0.93 μB/cell. As for the offset from the most stable computed form: 463.9 meV/atom. The calculation puts the theoretical density at 4.5 g cm⁻³. The value obtained for the total energy is -2.73 eV/atom. For the energy relative to the elements, the calculation gives 4.643 eV per formula unit. As for the crystal system: tetragonal.